1.
## TaCr2Te (PBE)

Data for crystalline TaCr2Te at its relaxed geometry.

a b c (Å): 3.126 4.261 5.217
angles (deg): 90.00 94.15 90.00
Atoms (fractional coordinates):
Ta (0.000, 0.000, 0.000)
Cr (0.410, 0.500, 0.189)
Cr (0.590, 0.500, 0.811)
Te (0.500, 0.000, 0.500)

Calculated values
V: 17.33 A^3/atom
total DFT energy (no corrections): -8.142 eV/atom
ΔE_f (raw): 419 meV per atom
space group: P2/m, No. 10

=====

2.
## InTe2Br2 (PBE)

Data for crystalline InTe2Br2 at its relaxed geometry.

a b c (Å): 6.316 6.316 9.570
angles (deg): 90.00 90.00 90.00
Atoms (fractional coordinates):
In (0.000, 0.000, 0.000)
In (0.500, 0.500, 0.500)
Te (0.000, 0.000, 0.367)
Te (0.000, 0.000, 0.633)
Te (0.500, 0.500, 0.133)
Te (0.500, 0.500, 0.867)
Br (0.000, 0.500, 0.250)
Br (0.000, 0.500, 0.750)
Br (0.500, 0.000, 0.250)
Br (0.500, 0.000, 0.750)

Calculated values
offset from the most stable computed form: 8.2 kJ/mol of atoms
V: 38.18 A^3/atom
total DFT energy (no corrections): -2.468 eV/atom
ΔE_f (raw): 6 meV per atom
space group: I4/mmm, No. 139

=====

3.
## Ce6TlIr (PBE)

Data for crystalline Ce6TlIr at its relaxed geometry.

a b c (Å): 7.878 9.707 6.347
angles (deg): 90.00 108.73 90.00
Atoms (fractional coordinates):
Ce (0.120, 0.208, 0.310)
Ce (0.120, 0.792, 0.310)
Ce (0.183, 0.500, 0.098)
Ce (0.317, 0.000, 0.902)
Ce (0.380, 0.292, 0.690)
Ce (0.380, 0.708, 0.690)
Ce (0.620, 0.292, 0.310)
Ce (0.620, 0.708, 0.310)
Ce (0.683, 0.000, 0.098)
Ce (0.817, 0.500, 0.902)
Ce (0.880, 0.208, 0.690)
Ce (0.880, 0.792, 0.690)
Tl (0.000, 0.500, 0.500)
Tl (0.500, 0.000, 0.500)
Ir (0.000, 0.000, 0.000)
Ir (0.500, 0.500, 0.000)

Calculated values
V: 28.73 A^3/atom
total DFT energy (no corrections): -6.002 eV/atom
space group: C2/m, No. 12
formation enthalpy at 0 K: -148 meV per atom

=====

4.
## Pr2Sm8Hg (PBE)

Data for crystalline Pr2Sm8Hg at its relaxed geometry.

a b c (Å): 10.211 10.211 6.559
angles (deg): 94.30 94.30 32.53
Atoms (fractional coordinates):
Pr (0.240, 0.240, 0.332)
Pr (0.760, 0.760, 0.668)
Sm (0.041, 0.041, 0.261)
Sm (0.153, 0.153, 0.803)
Sm (0.342, 0.342, 0.881)
Sm (0.421, 0.421, 0.397)
Sm (0.579, 0.579, 0.603)
Sm (0.658, 0.658, 0.119)
Sm (0.847, 0.847, 0.197)
Sm (0.959, 0.959, 0.739)
Hg (0.500, 0.500, 0.000)

Calculated values
offset from the most stable computed form: 0.0 kJ/mol of atoms
V: 33.33 A^3/atom
total DFT energy (no corrections): -4.367 eV/atom
space group: C2/m, No. 12
formation enthalpy at 0 K: -39 meV per atom

=====

5.
## LiNbN2 (PBE)

Data for crystalline LiNbN2 at its relaxed geometry.

a b c (Å): 3.100 3.100 16.066
angles (deg): 90.00 90.00 120.00
Atoms (fractional coordinates):
Li (0.000, 0.000, 0.000)
Li (0.333, 0.667, 0.667)
Li (0.667, 0.333, 0.333)
Nb (0.000, 0.000, 0.180)
Nb (0.333, 0.667, 0.847)
Nb (0.667, 0.333, 0.513)
N (0.000, 0.000, 0.587)
N (0.000, 0.000, 0.778)
N (0.333, 0.667, 0.253)
N (0.333, 0.667, 0.445)
N (0.667, 0.333, 0.111)
N (0.667, 0.333, 0.920)

Calculated values
offset from the most stable computed form: 11.1 kJ/mol of atoms
V: 11.14 A^3/atom
total DFT energy (no corrections): -7.950 eV/atom
ΔE_f (raw): -792 meV per atom
space group: R3m, No. 160

=====

6.
## YMgPt2O (PBE)

Data for crystalline YMgPt2O at its relaxed geometry.

a b c (Å): 4.635 4.635 4.250
angles (deg): 90.00 90.00 90.00
Atoms (fractional coordinates):
Y (0.000, 0.000, 0.000)
Mg (0.500, 0.500, 0.000)
Pt (0.000, 0.500, 0.500)
Pt (0.500, 0.000, 0.500)
O (0.000, 0.000, 0.500)

Calculated values
V: 18.26 A^3/atom
total DFT energy (no corrections): -5.735 eV/atom
ΔE_f (raw): -715 meV per atom
space group: P4/mmm, No. 123

=====

7.
## LiReAs2 (PBE)

Data for crystalline LiReAs2 at its relaxed geometry.

a b c (Å): 3.183 3.183 22.984
angles (deg): 90.00 90.00 120.00
Atoms (fractional coordinates):
Li (0.000, 0.000, 0.000)
Li (0.333, 0.667, 0.667)
Li (0.667, 0.333, 0.333)
Re (0.000, 0.000, 0.500)
Re (0.333, 0.667, 0.167)
Re (0.667, 0.333, 0.833)
As (0.000, 0.000, 0.244)
As (0.000, 0.000, 0.756)
As (0.333, 0.667, 0.423)
As (0.333, 0.667, 0.910)
As (0.667, 0.333, 0.090)
As (0.667, 0.333, 0.577)

Calculated values
offset from the most stable computed form: 3.3 kJ/mol of atoms
V: 16.80 A^3/atom
total DFT energy (no corrections): -6.069 eV/atom
space group: R-3m, No. 166
formation enthalpy at 0 K: -154 meV per atom

=====

8.
## ZrScCr2 (PBE)

Data for crystalline ZrScCr2 at its relaxed geometry.

a b c (Å): 7.028 7.028 5.604
angles (deg): 90.00 90.00 90.00
Atoms (fractional coordinates):
Zr (0.000, 0.000, 0.000)
Zr (0.000, 0.500, 0.250)
Zr (0.500, 0.000, 0.750)
Zr (0.500, 0.500, 0.500)
Sc (0.000, 0.000, 0.500)
Sc (0.000, 0.500, 0.750)
Sc (0.500, 0.000, 0.250)
Sc (0.500, 0.500, 0.000)
Cr (0.250, 0.250, 0.125)
Cr (0.250, 0.250, 0.625)
Cr (0.250, 0.750, 0.375)
Cr (0.250, 0.750, 0.875)
Cr (0.750, 0.250, 0.375)
Cr (0.750, 0.250, 0.875)
Cr (0.750, 0.750, 0.125)
Cr (0.750, 0.750, 0.625)

Calculated values
V: 17.30 A^3/atom
total DFT energy (no corrections): -7.681 eV/atom
space group: I-42d, No. 122
formation enthalpy at 0 K: 850 meV per atom

=====

9.
## Sr2CdNCl (PBE)

Data for crystalline Sr2CdNCl at its relaxed geometry.

a b c (Å): 6.201 6.201 5.132
angles (deg): 90.00 90.00 90.00
Atoms (fractional coordinates):
Sr (0.000, 0.500, 0.000)
Sr (0.500, 0.000, 0.000)
Cd (0.000, 0.000, 0.000)
N (0.500, 0.500, 0.500)
Cl (0.000, 0.000, 0.500)

Calculated values
V: 39.47 A^3/atom
total DFT energy (no corrections): -2.149 eV/atom
ΔE_f (raw): 741 meV per atom
space group: P4/mmm, No. 123

=====

10.
## Ca2HfPO8 (PBE)

Data for crystalline Ca2HfPO8 at its relaxed geometry.

a b c (Å): 6.289 6.289 5.174
angles (deg): 90.00 90.00 120.00
Atoms (fractional coordinates):
Ca (0.333, 0.667, 0.162)
Ca (0.667, 0.333, 0.838)
Hf (0.000, 0.000, 0.500)
P (0.000, 0.000, 0.000)
O (0.128, 0.255, 0.200)
O (0.128, 0.872, 0.200)
O (0.255, 0.128, 0.800)
O (0.333, 0.667, 0.672)
O (0.667, 0.333, 0.328)
O (0.745, 0.872, 0.200)
O (0.872, 0.128, 0.800)
O (0.872, 0.745, 0.800)

Calculated values
V: 14.77 A^3/atom
total DFT energy (no corrections): -6.919 eV/atom
ΔE_f (raw): -1999 meV per atom
space group: P-3m1, No. 164

=====

11.
## Ni5PdPt4 (PBE)

Data for crystalline Ni5PdPt4 at its relaxed geometry.

a b c (Å): 2.711 2.711 18.257
angles (deg): 90.00 90.00 90.00
Atoms (fractional coordinates):
Ni (0.000, 0.000, 0.000)
Ni (0.000, 0.000, 0.200)
Ni (0.000, 0.000, 0.400)
Ni (0.000, 0.000, 0.600)
Ni (0.000, 0.000, 0.800)
Pd (0.500, 0.500, 0.500)
Pt (0.500, 0.500, 0.100)
Pt (0.500, 0.500, 0.301)
Pt (0.500, 0.500, 0.699)
Pt (0.500, 0.500, 0.900)

Calculated values
V: 13.42 A^3/atom
total DFT energy (no corrections): -5.907 eV/atom
space group: P4/mmm, No. 123
formation enthalpy at 0 K: -80 meV per atom

=====

12.
## Cd2InBRu (PBE)

Data for crystalline Cd2InBRu at its relaxed geometry.

a b c (Å): 5.399 5.399 4.094
angles (deg): 90.00 90.00 90.00
Atoms (fractional coordinates):
Cd (0.000, 0.500, 0.000)
Cd (0.500, 0.000, 0.000)
In (0.000, 0.000, 0.000)
B (0.000, 0.000, 0.500)
Ru (0.500, 0.500, 0.500)

Calculated values
V: 23.87 A^3/atom
total DFT energy (no corrections): -2.476 eV/atom
space group: P4/mmm, No. 123
formation enthalpy at 0 K: 1629 meV per atom